DFT (PBE) results for a relaxed structure of PaGe2Rh2.

Results
Density of states at the Fermi level = 4.6 states/eV per cell
Crystal system = tetragonal
Formation energy from the elements = -748 meV per atom
Space group = P4/nmm
Uncorrected energy = -74.350 eV for the cell shown

Cell: 4.178 4.178 10.161 Å, 90.00 90.00 90.00°
Fractional positions:
Pa 0.250 0.250 0.249
Pa 0.750 0.750 0.751
Ge 0.250 0.250 0.866
Ge 0.250 0.750 0.500
Ge 0.750 0.250 0.500
Ge 0.750 0.750 0.134
Rh 0.250 0.250 0.630
Rh 0.250 0.750 0.000
Rh 0.750 0.250 0.000
Rh 0.750 0.750 0.370

DFT (PBE) results for a relaxed structure of PaGeRh2.

Results
Density of states at the Fermi level = 3.5 states/eV per cell
Crystal system = trigonal
Formation energy from the elements = -744 meV per atom
Space group = R-3m
Uncorrected energy = -31.791 eV for the cell shown

Cell: 5.178 5.178 5.178 Å, 48.96 48.96 48.96°
Fractional positions:
Pa 0.000 0.000 0.000
Ge 0.500 0.500 0.500
Rh 0.220 0.220 0.220
Rh 0.780 0.780 0.780

DFT (PBE) results for a relaxed structure of Pa4Ge16Rh3.

Results
Density of states at the Fermi level = 17.8 states/eV per cell
Crystal system = tetragonal
Formation energy from the elements = -333 meV per atom
Space group = P4/mmm
Uncorrected energy = -141.573 eV for the cell shown

Cell: 6.166 6.166 11.382 Å, 90.00 90.00 90.00°
Fractional positions:
Pa 0.000 0.500 0.186
Pa 0.000 0.500 0.814
Pa 0.500 0.000 0.186
Pa 0.500 0.000 0.814
Ge 0.000 0.000 0.204
Ge 0.000 0.000 0.796
Ge 0.217 0.217 0.000
Ge 0.217 0.783 0.000
Ge 0.249 0.249 0.377
Ge 0.249 0.249 0.623
Ge 0.249 0.751 0.377
Ge 0.249 0.751 0.623
Ge 0.500 0.500 0.225
Ge 0.500 0.500 0.775
Ge 0.751 0.249 0.377
Ge 0.751 0.249 0.623
Ge 0.751 0.751 0.377
Ge 0.751 0.751 0.623
Ge 0.783 0.217 0.000
Ge 0.783 0.783 0.000
Rh 0.000 0.500 0.500
Rh 0.500 0.000 0.500
Rh 0.500 0.500 0.000

DFT (PBE) results for a relaxed structure of Pa2Ge4RuRh3.

Results
Density of states at the Fermi level = 8.8 states/eV per cell
Crystal system = tetragonal
Formation energy from the elements = -702 meV per atom
Space group = P-4m2
Uncorrected energy = -75.811 eV for the cell shown

Cell: 4.223 4.223 9.960 Å, 90.00 90.00 90.00°
Fractional positions:
Pa 0.000 0.500 0.243
Pa 0.500 0.000 0.757
Ge 0.000 0.000 0.500
Ge 0.000 0.500 0.868
Ge 0.500 0.000 0.132
Ge 0.500 0.500 0.500
Ru 0.500 0.500 0.000
Rh 0.000 0.000 0.000
Rh 0.000 0.500 0.627
Rh 0.500 0.000 0.373

DFT (PBE) results for a relaxed structure of PaGeRhS.

Results
Uncorrected formation energy = -4.08 eV per formula unit
Density of states at the Fermi level = 4.3 states/eV per cell
Crystal system = tetragonal
Space group = P4/nmm
Uncorrected energy = -59.336 eV for the cell shown

Cell: 4.218 4.218 8.410 Å, 90.00 90.00 90.00°
Fractional positions:
Pa 0.250 0.250 0.212
Pa 0.750 0.750 0.788
Ge 0.250 0.250 0.666
Ge 0.750 0.750 0.334
Rh 0.250 0.750 0.500
Rh 0.750 0.250 0.500
S 0.250 0.750 0.000
S 0.750 0.250 0.000

DFT (PBE) results for a relaxed structure of Pa4Ge3SbRh12.

Results
Uncorrected formation energy = -0.54 eV per formula unit
Density of states at the Fermi level = 34.9 states/eV per cell
Crystal system = cubic
Space group = Im-3m
Uncorrected energy = -144.717 eV for the cell shown

Cell: 8.025 8.025 8.025 Å, 109.47 109.47 109.47°
Fractional positions:
Pa 0.000 0.000 0.500
Pa 0.000 0.500 0.000
Pa 0.500 0.000 0.000
Pa 0.500 0.500 0.500
Ge 0.000 0.500 0.500
Ge 0.500 0.000 0.500
Ge 0.500 0.500 0.000
Sb 0.000 0.000 0.000
Rh 0.000 0.259 0.259
Rh 0.000 0.741 0.741
Rh 0.250 0.500 0.750
Rh 0.250 0.750 0.500
Rh 0.259 0.000 0.259
Rh 0.259 0.259 0.000
Rh 0.500 0.250 0.750
Rh 0.500 0.750 0.250
Rh 0.741 0.000 0.741
Rh 0.741 0.741 0.000
Rh 0.750 0.250 0.500
Rh 0.750 0.500 0.250